# 1
DFT (PBE-GGA) results for an optimized crystal structure of CsK.

Cell: 4.9693 8.3124 8.9575 Å, 90.00 93.34 90.00°
Element x y z (fractional)
Cs 0.2111 0.2500 0.3864
Cs 0.7889 0.7500 0.6136
K 0.2960 0.7500 0.0956
K 0.7040 0.2500 0.9044

ΔH_f (0 K)   15 meV/atom
Theoretical density   1.5 g cm⁻³
Magnetic moment   0.000 μB/atom


# 2
DFT (PBE-GGA) results for an optimized crystal structure of CsK8.

Cell: 11.7971 11.7971 11.7971 Å, 92.74 92.74 154.75°
Element x y z (fractional)
Cs 0.0000 0.0000 0.0000
K 0.0000 0.3339 0.3339
K 0.0000 0.6661 0.6661
K 0.3268 0.3268 0.6537
K 0.3268 0.6732 0.0000
K 0.3339 0.0000 0.3339
K 0.6661 0.0000 0.6661
K 0.6732 0.3268 0.0000
K 0.6732 0.6732 0.3463

ΔH_f (0 K)   7 meV/atom
Theoretical density   1.1 g cm⁻³
Magnetic moment   0.000 μB/atom


# 3
DFT (PBE-GGA) results for an optimized crystal structure of CsK.

Cell: 13.1834 13.1834 13.1834 Å, 90.00 90.00 90.00°
Element x y z (fractional)
Cs 0.0000 0.2500 0.5000
Cs 0.0000 0.7500 0.5000
Cs 0.2500 0.5000 0.0000
Cs 0.5000 0.0000 0.2500
Cs 0.5000 0.0000 0.7500
Cs 0.7500 0.5000 0.0000
K 0.0000 0.5000 0.2500
K 0.0000 0.5000 0.7500
K 0.2500 0.0000 0.5000
K 0.5000 0.2500 0.0000
K 0.5000 0.7500 0.0000
K 0.7500 0.0000 0.5000

ΔH_f (0 K)   287 meV/atom
Theoretical density   0.7 g cm⁻³
Magnetic moment   0.000 μB/atom


# 4
DFT (PBE-GGA) results for an optimized crystal structure of CsK.

Cell: 9.3367 9.3367 9.3367 Å, 90.00 90.00 90.00°
Element x y z (fractional)
Cs 0.0000 0.0000 0.0000
Cs 0.0000 0.5000 0.5000
Cs 0.5000 0.0000 0.5000
Cs 0.5000 0.5000 0.0000
K 0.0000 0.0000 0.5000
K 0.0000 0.5000 0.0000
K 0.5000 0.0000 0.0000
K 0.5000 0.5000 0.5000

ΔH_f (0 K)   106 meV/atom
Theoretical density   1.4 g cm⁻³
Magnetic moment   0.000 μB/atom


# 5
DFT (PBE-GGA) results for an optimized crystal structure of Cs5K7.

Cell: 5.0879 15.2090 13.7599 Å, 90.00 90.00 90.00°
Element x y z (fractional)
Cs 0.0000 0.0000 0.0000
Cs 0.0000 0.3418 0.5389
Cs 0.0000 0.6582 0.5389
Cs 0.5000 0.1676 0.2810
Cs 0.5000 0.8324 0.2810
K 0.0000 0.0000 0.5635
K 0.0000 0.3356 0.0191
K 0.0000 0.6644 0.0191
K 0.5000 0.1797 0.7791
K 0.5000 0.5000 0.2499
K 0.5000 0.5000 0.8063
K 0.5000 0.8203 0.7791

ΔH_f (0 K)   15 meV/atom
Theoretical density   1.5 g cm⁻³
Magnetic moment   0.000 μB/atom


# 6
DFT (PBE-GGA) results for an optimized crystal structure of CsK6.

Cell: 14.2545 8.7298 18.0909 Å, 90.00 90.00 90.00°
Element x y z (fractional)
Cs 0.2476 0.2500 0.0680
Cs 0.2524 0.7500 0.5680
Cs 0.7476 0.2500 0.4320
Cs 0.7524 0.7500 0.9320
K 0.0521 0.7500 0.0823
K 0.0646 0.0080 0.3072
K 0.0646 0.4920 0.3072
K 0.1022 0.2500 0.5199
K 0.1401 0.7500 0.8519
K 0.1891 0.2500 0.7592
K 0.3109 0.7500 0.2592
K 0.3599 0.2500 0.3519
K 0.3978 0.7500 0.0199
K 0.4354 0.5080 0.8072
K 0.4354 0.9920 0.8072
K 0.4479 0.2500 0.5823
K 0.5521 0.7500 0.4177
K 0.5646 0.0080 0.1928
K 0.5646 0.4920 0.1928
K 0.6022 0.2500 0.9801
K 0.6401 0.7500 0.6481
K 0.6891 0.2500 0.7408
K 0.8109 0.7500 0.2408
K 0.8599 0.2500 0.1481
K 0.8978 0.7500 0.4801
K 0.9354 0.5080 0.6928
K 0.9354 0.9920 0.6928
K 0.9479 0.2500 0.9177

ΔH_f (0 K)   22 meV/atom
Theoretical density   1.1 g cm⁻³
Magnetic moment   0.000 μB/atom


# 7
DFT (PBE-GGA) results for an optimized crystal structure of CsK.

Cell: 11.4136 10.8668 9.4351 Å, 67.99 61.97 50.03°
Element x y z (fractional)
Cs 0.0621 0.6879 0.0621
Cs 0.3121 0.9379 0.3121
Cs 0.6879 0.0621 0.6879
Cs 0.9379 0.3121 0.9379
K 0.2050 0.5450 0.5450
K 0.4550 0.7950 0.7950
K 0.5450 0.2050 0.2050
K 0.7950 0.4550 0.4550

ΔH_f (0 K)   61 meV/atom
Theoretical density   1.5 g cm⁻³
Magnetic moment   0.000 μB/atom


# 8
DFT (PBE-GGA) results for an optimized crystal structure of CsK2.

Cell: 9.0112 9.0112 14.7469 Å, 90.00 90.00 120.00°
Element x y z (fractional)
Cs 0.3333 0.6667 0.0635
Cs 0.3333 0.6667 0.4365
Cs 0.6667 0.3333 0.5635
Cs 0.6667 0.3333 0.9365
K 0.0000 0.0000 0.0000
K 0.0000 0.0000 0.5000
K 0.1693 0.3386 0.7500
K 0.1693 0.8307 0.7500
K 0.3386 0.1693 0.2500
K 0.6614 0.8307 0.7500
K 0.8307 0.1693 0.2500
K 0.8307 0.6614 0.2500

ΔH_f (0 K)   -6 meV/atom
Theoretical density   1.4 g cm⁻³
Magnetic moment   0.000 μB/atom


# 9
DFT (PBE-GGA) results for an optimized crystal structure of Cs3K.

Cell: 11.7818 11.7818 11.7818 Å, 90.00 90.00 90.00°
Element x y z (fractional)
Cs 0.0000 0.0000 0.0000
Cs 0.0000 0.5000 0.5000
Cs 0.2500 0.2500 0.2500
Cs 0.2500 0.2500 0.7500
Cs 0.2500 0.7500 0.2500
Cs 0.2500 0.7500 0.7500
Cs 0.5000 0.0000 0.5000
Cs 0.5000 0.5000 0.0000
Cs 0.7500 0.2500 0.2500
Cs 0.7500 0.2500 0.7500
Cs 0.7500 0.7500 0.2500
Cs 0.7500 0.7500 0.7500
K 0.0000 0.0000 0.5000
K 0.0000 0.5000 0.0000
K 0.5000 0.0000 0.0000
K 0.5000 0.5000 0.5000

ΔH_f (0 K)   6 meV/atom
Theoretical density   1.8 g cm⁻³
Magnetic moment   0.000 μB/atom


# 10
DFT (PBE-GGA) results for an optimized crystal structure of CsK.

Cell: 5.0156 5.0156 17.4265 Å, 90.00 90.00 120.00°
Element x y z (fractional)
Cs 0.3333 0.6667 0.0000
Cs 0.6667 0.3333 0.5000
K 0.3333 0.6667 0.2638
K 0.6667 0.3333 0.7638

ΔH_f (0 K)   53 meV/atom
Theoretical density   1.5 g cm⁻³
Magnetic moment   0.000 μB/atom